No. 1
## CsRb2SrCd (PBE)

Data for CsRb2SrCd after structural relaxation.

Calculated values
electronic total energy = -1.026 eV per atom
formation enthalpy at 0 K = 0.0515 eV per atom
ΔE to the lowest computed polymorph = 0 meV/atom

abc: 7.348 7.348 6.751
angles: 90.00 90.00 90.00
Sites, in units of the cell vectors:
Cs 0.000 0.000 0.000
Rb 0.000 0.500 0.500
Rb 0.500 0.000 0.500
Sr 0.500 0.500 0.000
Cd 0.500 0.500 0.500

No. 2
## Pa3InN6 (PBE)

Data for Pa3InN6 after structural relaxation.

Calculated values
electronic total energy = -9.408 eV per atom
ΔE_f (raw) = -125 kJ per mole of atoms

abc: 7.326 7.326 5.594
angles: 90.00 90.00 102.98
Sites, in units of the cell vectors:
Pa 0.105 0.895 0.500
Pa 0.192 0.415 0.545
Pa 0.415 0.192 0.045
Pa 0.585 0.808 0.545
Pa 0.808 0.585 0.045
Pa 0.895 0.105 0.000
In 0.319 0.681 0.072
In 0.681 0.319 0.572
N 0.060 0.607 0.289
N 0.141 0.177 0.270
N 0.177 0.141 0.770
N 0.283 0.717 0.701
N 0.393 0.940 0.289
N 0.467 0.533 0.319
N 0.533 0.467 0.819
N 0.607 0.060 0.789
N 0.717 0.283 0.201
N 0.823 0.859 0.270
N 0.859 0.823 0.770
N 0.940 0.393 0.789

No. 3
## TaReIr3 (PBE)

Data for TaReIr3 after structural relaxation.

Calculated values
electronic total energy = -10.470 eV per atom
formation enthalpy at 0 K = -0.2933 eV per atom
ΔE to the lowest computed polymorph = 0 meV/atom

abc: 4.802 4.802 6.842
angles: 117.86 117.86 33.65
Sites, in units of the cell vectors:
Ta 0.000 0.000 0.000
Re 0.389 0.389 0.576
Ir 0.197 0.197 0.790
Ir 0.604 0.604 0.408
Ir 0.796 0.796 0.193

No. 4
## Dy2HoHf (PBE)

Data for Dy2HoHf after structural relaxation.

Calculated values
electronic total energy = -5.825 eV per atom
formation enthalpy at 0 K = 0.1093 eV per atom
ΔE to the lowest computed polymorph = 0 meV/atom

abc: 11.319 11.319 11.319
angles: 17.45 17.45 17.45
Sites, in units of the cell vectors:
Dy 0.000 0.000 0.000
Dy 0.177 0.177 0.177
Ho 0.755 0.755 0.755
Hf 0.588 0.588 0.588

No. 5
## LiCu6OF11 (PBE)

Data for LiCu6OF11 after structural relaxation.

Calculated values
electronic total energy = -4.258 eV per atom
ΔE_f (raw) = -147 kJ per mole of atoms
ΔE to the lowest computed polymorph = 9 meV/atom

abc: 4.860 5.423 8.394
angles: 84.88 87.55 88.11
Sites, in units of the cell vectors:
Li 0.000 0.000 0.000
Cu 0.001 0.999 0.498
Cu 0.499 0.840 0.177
Cu 0.511 0.142 0.818
Cu 0.516 0.500 0.480
Cu 0.985 0.382 0.188
Cu 0.999 0.623 0.809
O 0.675 0.551 0.267
F 0.172 0.673 0.090
F 0.182 0.298 0.416
F 0.188 0.948 0.780
F 0.295 0.157 0.087
F 0.307 0.814 0.419
F 0.329 0.450 0.720
F 0.692 0.186 0.575
F 0.697 0.835 0.918
F 0.805 0.059 0.219
F 0.819 0.700 0.585
F 0.822 0.319 0.900

No. 6
## Tb7Mg2Hg2 (PBE)

Data for Tb7Mg2Hg2 after structural relaxation.

Calculated values
electronic total energy = -3.221 eV per atom
formation enthalpy at 0 K = 0.0703 eV per atom

abc: 6.735 6.735 8.357
angles: 90.00 90.00 115.02
Sites, in units of the cell vectors:
Tb 0.000 0.000 0.000
Tb 0.000 0.500 0.292
Tb 0.000 0.500 0.708
Tb 0.500 0.000 0.292
Tb 0.500 0.000 0.708
Tb 0.500 0.500 0.220
Tb 0.500 0.500 0.780
Mg 0.194 0.194 0.500
Mg 0.806 0.806 0.500
Hg 0.278 0.722 0.000
Hg 0.722 0.278 0.000

No. 7
## BeSi2Cl (PBE)

Data for BeSi2Cl after structural relaxation.

Calculated values
electronic total energy = -3.698 eV per atom
ΔE_f (raw) = 39 kJ per mole of atoms
ΔE to the lowest computed polymorph = 227 meV/atom

abc: 5.944 5.944 5.944
angles: 152.94 139.06 49.76
Sites, in units of the cell vectors:
Be 0.000 0.000 0.000
Si 0.196 0.696 0.500
Si 0.804 0.304 0.500
Cl 0.500 0.500 0.000

No. 8
## Ba4Tl2Sb (PBE)

Data for Ba4Tl2Sb after structural relaxation.

Calculated values
electronic total energy = -2.714 eV per atom
ΔE_f (raw) = -34 kJ per mole of atoms

abc: 9.758 9.758 9.758
angles: 139.84 139.84 58.09
Sites, in units of the cell vectors:
Ba 0.000 0.500 0.500
Ba 0.196 0.196 0.000
Ba 0.500 0.000 0.500
Ba 0.804 0.804 0.000
Tl 0.402 0.402 0.000
Tl 0.598 0.598 0.000
Sb 0.000 0.000 0.000

In the order shown, the computed theoretical density values come out to 2.3; 10.1; 20.5; 9.7; 4.6; 7.6; 2.7; 4.7 g/cm3.
In the order shown, the computed magnetic moment values come out to 0.000; 0.000; 0.000; 0.000; 3.961; 0.000; 0.000; 2.385 μB/f.u..